[1]
A plane-wave DFT calculation with PBE was carried out for a relaxed structure of SmHoZn2.

Properties
Energy of formation in eV/atom: -0.328
SG: P4/mmm (123)
DOS(E_F) in states/eV per atom: 1.17
VASP energy in eV/atom: -3.29
Crystal system: tetragonal

```
4
Lattice="3.582 0.000 0.000 0.000 3.582 0.000 0.000 0.000 7.248" Properties=species:S:1:pos:R:3 pbc="T T T"
Sm 0.000 0.000 0.000
Ho 0.000 0.000 3.624
Zn 1.791 1.791 1.916
Zn 1.791 1.791 5.332
```

=====

[2]
A plane-wave DFT calculation with PBE was carried out for a relaxed structure of KOs2Au.

Properties
Energy of formation in eV/atom: 1.134
SG: Pmmm (47)
DOS(E_F) in states/eV per atom: 0.83
VASP energy in eV/atom: -5.57
Crystal system: orthorhombic

```
4
Lattice="2.679 0.000 0.000 0.000 4.950 0.000 0.000 0.000 5.483" Properties=species:S:1:pos:R:3 pbc="T T T"
K 0.000 0.000 0.000
Os 0.000 2.475 2.741
Os 1.339 0.000 2.741
Au 1.339 2.475 0.000
```

=====

[3]
A plane-wave DFT calculation with PBE was carried out for a relaxed structure of LaPr2Hg.

Properties
Energy of formation in eV/atom: -0.183
SG: P4/mmm (123)
DOS(E_F) in states/eV per atom: 1.50
VASP energy in eV/atom: -3.88
Crystal system: tetragonal

```
4
Lattice="5.002 0.000 0.000 0.000 5.002 0.000 0.000 0.000 5.015" Properties=species:S:1:pos:R:3 pbc="T T T"
La 0.000 0.000 0.000
Pr 0.000 2.501 2.508
Pr 2.501 0.000 2.508
Hg 2.501 2.501 0.000
```

=====

[4]
A plane-wave DFT calculation with PBE was carried out for a relaxed structure of ErNiPdPb.

Properties
Energy of formation in eV/atom: -0.461
SG: F-43m (216)
DOS(E_F) in states/eV per atom: 0.77
VASP energy in eV/atom: -5.27
Crystal system: cubic

```
4
Lattice="0.000 3.365 3.365 3.365 0.000 3.365 3.365 3.365 0.000" Properties=species:S:1:pos:R:3 pbc="T T T"
Er 0.000 0.000 0.000
Ni 1.682 1.682 1.682
Pd 5.047 5.047 5.047
Pb 3.365 3.365 3.365
```

=====

no.,M_tot (μB/atom)
1,0.000
2,0.055
3,0.000
4,0.000